# 1
DFT (GGA-PBE) results for a relaxed La2H7Rh2 crystal. Values from VASP.

Cell and atoms, written as Quantum ESPRESSO input:
```
&SYSTEM
  ibrav = 0, nat = 11, ntyp = 3
/
ATOMIC_SPECIES
La 138.91 La.upf
H 1.01 H.upf
Rh 102.91 Rh.upf
ATOMIC_POSITIONS crystal
La 0.768 0.500 0.768
La 0.232 0.500 0.232
H 0.000 0.178 0.500
H 0.500 0.822 0.000
H 0.000 0.822 0.500
H 0.500 0.178 0.000
H 0.000 0.000 0.000
H 0.500 0.817 0.500
H 0.500 0.183 0.500
Rh 0.732 0.000 0.268
Rh 0.268 0.000 0.732
CELL_PARAMETERS angstrom
4.927 -0.002 -0.074
0.002 4.782 0.002
-0.381 -0.002 4.913
```

## Properties
Calculated total energy, eV/cell: -51.75
Volume, Å³ per cell: 115.6
Density, g/cm3: 7.05

***

# 2
DFT (GGA-PBE) results for a relaxed LaH11Rh5 crystal. Values from VASP.

Cell and atoms, written as Quantum ESPRESSO input:
```
&SYSTEM
  ibrav = 0, nat = 17, ntyp = 3
/
ATOMIC_SPECIES
La 138.91 La.upf
H 1.01 H.upf
Rh 102.91 Rh.upf
ATOMIC_POSITIONS crystal
La 0.000 0.000 0.000
H 0.281 0.557 0.557
H 0.719 0.443 0.443
H 0.645 0.058 0.726
H 0.355 0.942 0.274
H 0.355 0.274 0.942
H 0.645 0.726 0.058
H 0.500 0.000 0.000
H 0.098 0.859 0.495
H 0.902 0.141 0.505
H 0.902 0.505 0.141
H 0.098 0.495 0.859
Rh 0.658 0.060 0.387
Rh 0.342 0.940 0.613
Rh 0.342 0.613 0.940
Rh 0.658 0.387 0.060
Rh 0.000 0.500 0.500
CELL_PARAMETERS angstrom
-3.460 -1.727 -6.124
4.407 1.700 -1.851
0.304 -4.547 2.230
```

## Properties
Calculated total energy, eV/cell: -80.37
Volume, Å³ per cell: 159.8
Density, g/cm3: 6.90

***

# 3
DFT (GGA-PBE) results for a relaxed LaH4Rh crystal. Values from VASP.

Cell and atoms, written as Quantum ESPRESSO input:
```
&SYSTEM
  ibrav = 0, nat = 12, ntyp = 3
/
ATOMIC_SPECIES
La 138.91 La.upf
H 1.01 H.upf
Rh 102.91 Rh.upf
ATOMIC_POSITIONS crystal
La 0.500 0.750 0.500
La 0.500 0.250 0.500
H 0.836 0.215 0.164
H 0.827 0.448 0.163
H 0.827 0.948 0.164
H 0.836 0.715 0.163
H 0.164 0.285 0.837
H 0.173 0.052 0.836
H 0.173 0.552 0.837
H 0.164 0.785 0.836
Rh 0.000 0.750 0.500
Rh 0.000 0.250 0.500
CELL_PARAMETERS angstrom
-0.404 3.435 5.073
-5.196 -1.967 -7.384
1.414 -3.379 2.836
```

## Properties
Calculated total energy, eV/cell: -57.90
Volume, Å³ per cell: 130.3
Density, g/cm3: 6.27

***

# 4
DFT (GGA-PBE) results for a relaxed La2HRh4 crystal. Values from VASP.

Cell and atoms, written as Quantum ESPRESSO input:
```
&SYSTEM
  ibrav = 0, nat = 7, ntyp = 3
/
ATOMIC_SPECIES
H 1.01 H.upf
Rh 102.91 Rh.upf
La 138.91 La.upf
ATOMIC_POSITIONS crystal
H 0.000 0.000 0.000
Rh 0.864 0.864 0.271
Rh 0.136 0.136 0.729
Rh 0.000 0.500 0.000
Rh 0.500 0.000 0.000
La 0.657 0.657 0.687
La 0.343 0.343 0.313
CELL_PARAMETERS angstrom
4.254 0.000 0.000
0.000 4.254 0.000
2.127 2.127 6.828
```

## Properties
Calculated total energy, eV/cell: -45.58
Volume, Å³ per cell: 123.5
Density, g/cm3: 9.28

***

# 5
DFT (GGA-PBE) results for a relaxed LaHRh2 crystal. Values from VASP.

Cell and atoms, written as Quantum ESPRESSO input:
```
&SYSTEM
  ibrav = 0, nat = 4, ntyp = 3
/
ATOMIC_SPECIES
H 1.01 H.upf
Rh 102.91 Rh.upf
La 138.91 La.upf
ATOMIC_POSITIONS crystal
H 0.000 0.000 0.000
Rh 0.250 0.250 0.250
Rh 0.750 0.750 0.750
La 0.500 0.500 0.500
CELL_PARAMETERS angstrom
-3.556 -2.576 1.139
-2.915 1.431 3.167
-4.191 1.269 -1.182
```

## Properties
Calculated total energy, eV/cell: -22.08
Volume, Å³ per cell: 66.0
Polymorph energy (0 for the lowest one), eV/f.u.: 2.97
Density, g/cm3: 8.70

***

# 6
DFT (GGA-PBE) results for a relaxed LaH7Rh2 crystal. Values from VASP.

Cell and atoms, written as Quantum ESPRESSO input:
```
&SYSTEM
  ibrav = 0, nat = 10, ntyp = 3
/
ATOMIC_SPECIES
La 138.91 La.upf
H 1.01 H.upf
Rh 102.91 Rh.upf
ATOMIC_POSITIONS crystal
La 0.000 0.000 0.000
H 0.000 0.683 0.317
H 0.000 0.317 0.683
H 0.500 0.031 0.327
H 0.500 0.969 0.673
H 0.500 0.327 0.031
H 0.500 0.673 0.969
H 0.500 0.500 0.500
Rh 0.500 0.685 0.315
Rh 0.500 0.315 0.685
CELL_PARAMETERS angstrom
-3.010 -0.714 1.973
2.898 -0.068 4.398
-2.160 4.506 -1.665
```

## Properties
Calculated total energy, eV/cell: -46.60
Volume, Å³ per cell: 88.1
Density, g/cm3: 6.63

***

# 7
DFT (GGA-PBE) results for a relaxed La2H8Rh crystal. Values from VASP.

Cell and atoms, written as Quantum ESPRESSO input:
```
&SYSTEM
  ibrav = 0, nat = 11, ntyp = 3
/
ATOMIC_SPECIES
La 138.91 La.upf
H 1.01 H.upf
Rh 102.91 Rh.upf
ATOMIC_POSITIONS crystal
La 0.853 0.353 0.706
La 0.147 0.647 0.294
H 0.395 0.666 0.790
H 0.606 0.882 0.212
H 0.761 0.760 0.522
H 0.000 0.201 0.000
H 0.239 0.240 0.478
H 0.394 0.118 0.788
H 0.605 0.334 0.210
H 0.000 0.799 0.000
Rh 0.500 0.000 0.000
CELL_PARAMETERS angstrom
-2.039 -1.737 -2.887
3.826 -1.493 -1.804
-1.321 -3.721 5.858
```

## Properties
Calculated total energy, eV/cell: -48.17
Volume, Å³ per cell: 113.1
Density, g/cm3: 5.71

***

# 8
DFT (GGA-PBE) results for a relaxed La3HRh2 crystal. Values from VASP.

Cell and atoms, written as Quantum ESPRESSO input:
```
&SYSTEM
  ibrav = 0, nat = 24, ntyp = 3
/
ATOMIC_SPECIES
La 138.91 La.upf
H 1.01 H.upf
Rh 102.91 Rh.upf
ATOMIC_POSITIONS crystal
La 0.250 0.339 0.775
La 0.750 0.661 0.225
La 0.750 0.161 0.275
La 0.250 0.839 0.725
La 0.750 0.029 0.898
La 0.250 0.971 0.102
La 0.250 0.471 0.398
La 0.750 0.529 0.602
La 0.250 0.140 0.568
La 0.750 0.860 0.432
La 0.750 0.360 0.068
La 0.250 0.640 0.932
H 0.250 0.397 0.634
H 0.750 0.603 0.366
H 0.750 0.103 0.134
H 0.250 0.897 0.866
Rh 0.250 0.251 0.967
Rh 0.750 0.749 0.033
Rh 0.750 0.249 0.467
Rh 0.250 0.751 0.533
Rh 0.750 0.109 0.721
Rh 0.250 0.891 0.279
Rh 0.250 0.391 0.221
Rh 0.750 0.609 0.779
CELL_PARAMETERS angstrom
4.116 0.000 0.000
0.000 8.235 0.000
0.000 0.000 16.567
```

## Properties
Calculated total energy, eV/cell: -146.92
Volume, Å³ per cell: 561.5
Density, g/cm3: 7.38

***

# 9
DFT (GGA-PBE) results for a relaxed La3HRh8 crystal. Values from VASP.

Cell and atoms, written as Quantum ESPRESSO input:
```
&SYSTEM
  ibrav = 0, nat = 12, ntyp = 3
/
ATOMIC_SPECIES
La 138.91 La.upf
H 1.01 H.upf
Rh 102.91 Rh.upf
ATOMIC_POSITIONS crystal
La 0.617 0.617 0.148
La 0.012 0.012 0.964
La 0.485 0.485 0.545
H 0.187 0.187 0.438
Rh 0.557 0.054 0.832
Rh 0.054 0.562 0.331
Rh 0.557 0.557 0.832
Rh 0.054 0.054 0.331
Rh 0.805 0.805 0.584
Rh 0.306 0.306 0.082
Rh 0.054 0.557 0.832
Rh 0.562 0.054 0.331
CELL_PARAMETERS angstrom
5.195 0.000 1.541
2.369 4.624 1.541
0.063 0.039 9.315
```

## Properties
Calculated total energy, eV/cell: -82.56
Volume, Å³ per cell: 223.1
Density, g/cm3: 9.24

***

# 10
DFT (GGA-PBE) results for a relaxed LaH5Rh crystal. Values from VASP.

Cell and atoms, written as Quantum ESPRESSO input:
```
&SYSTEM
  ibrav = 0, nat = 14, ntyp = 3
/
ATOMIC_SPECIES
La 138.91 La.upf
H 1.01 H.upf
Rh 102.91 Rh.upf
ATOMIC_POSITIONS crystal
La 0.500 0.500 0.750
La 0.500 0.500 0.250
H 0.416 0.916 0.917
H 0.416 0.916 0.417
H 0.916 0.416 0.417
H 0.000 0.000 0.750
H 0.084 0.584 0.083
H 0.916 0.416 0.917
H 0.000 0.000 0.250
H 0.084 0.584 0.583
H 0.584 0.084 0.583
H 0.584 0.084 0.083
Rh 0.000 0.000 0.000
Rh 0.000 0.000 0.500
CELL_PARAMETERS angstrom
4.414 0.665 1.357
1.121 4.321 1.357
1.022 0.920 7.811
```

## Properties
Calculated total energy, eV/cell: -65.15
Volume, Å³ per cell: 134.0
Density, g/cm3: 6.12

***

# 11
DFT (GGA-PBE) results for a relaxed La2H5Rh2 crystal. Values from VASP.

Cell and atoms, written as Quantum ESPRESSO input:
```
&SYSTEM
  ibrav = 0, nat = 18, ntyp = 3
/
ATOMIC_SPECIES
La 138.91 La.upf
H 1.01 H.upf
Rh 102.91 Rh.upf
ATOMIC_POSITIONS crystal
La 0.128 0.639 0.259
La 0.872 0.380 0.741
La 0.631 0.139 0.259
La 0.369 0.880 0.741
H 0.252 0.761 0.003
H 0.748 0.758 0.997
H 0.252 0.261 0.003
H 0.748 0.258 0.997
H 0.137 0.136 0.254
H 0.863 0.883 0.746
H 0.617 0.636 0.254
H 0.383 0.383 0.746
H 0.000 0.510 0.500
H 0.000 0.010 0.500
Rh 0.000 0.009 0.000
Rh 0.500 0.509 0.000
Rh 0.271 0.260 0.500
Rh 0.729 0.760 0.500
CELL_PARAMETERS angstrom
5.301 0.000 0.000
0.000 5.331 0.000
-2.651 -2.666 7.562
```

## Properties
Calculated total energy, eV/cell: -93.15
Volume, Å³ per cell: 213.7
Density, g/cm3: 7.59

***

# 12
DFT (GGA-PBE) results for a relaxed La4HRh2 crystal. Values from VASP.

Cell and atoms, written as Quantum ESPRESSO input:
```
&SYSTEM
  ibrav = 0, nat = 7, ntyp = 3
/
ATOMIC_SPECIES
H 1.01 H.upf
Rh 102.91 Rh.upf
La 138.91 La.upf
ATOMIC_POSITIONS crystal
H 0.000 0.000 0.000
Rh 0.629 0.629 0.742
Rh 0.371 0.371 0.258
La 0.804 0.804 0.392
La 0.196 0.196 0.608
La 0.000 0.500 0.000
La 0.500 0.000 0.000
CELL_PARAMETERS angstrom
-0.060 -0.986 4.832
-1.545 -4.585 -0.955
6.164 -5.055 1.562
```

## Properties
Calculated total energy, eV/cell: -41.19
Volume, Å³ per cell: 178.4
Density, g/cm3: 7.10